Crystalline CePrBiP at its relaxed geometry. Source: Alexandria via LeMat-Bulk, functional PBE-GGA.

a b c (Å): 4.321 4.321 7.725
angles (deg): 73.76 73.76 60.00
Fractional positions:
Ce: 0.260 0.260 0.219
Bi: 0.502 0.502 0.493
Pr: 0.740 0.740 0.781
P: 0.997 0.997 0.008

Calculated values
As for the space-group type: No. 160. The magnetic moment comes out at 0.17 μB/atom. For the total energy, the calculation gives -24.65 eV/cell. The formation energy comes out at -1.1613 eV/atom.